{"formula": "TbZnAs2Rh5", "functional": "PBE", "state": "relaxed", "lattice_angstrom": [[-0.889, 0.922, -3.845], [3.460, -1.726, -1.214], [-4.873, -9.036, -1.040]], "species": ["Tb", "Zn", "As", "As", "Rh", "Rh", "Rh", "Rh", "Rh"], "fractional_positions": [[0.000, 0.000, 0.500], [0.000, 0.000, 0.000], [0.500, 0.500, 0.271], [0.500, 0.500, 0.729], [0.000, 0.500, 0.150], [0.500, 0.000, 0.150], [0.000, 0.500, 0.850], [0.500, 0.000, 0.850], [0.500, 0.500, 0.500]], "dft_energy_ev_per_atom": -6.148}

---

{"formula": "Ca4HAu2", "functional": "PBE", "state": "relaxed", "lattice_angstrom": [[4.629, 0.000, 0.000], [0.000, 4.629, 0.000], [-2.314, -2.314, 8.083]], "species": ["H", "Ca", "Ca", "Ca", "Ca", "Au", "Au"], "fractional_positions": [[0.000, 0.000, 0.000], [0.818, 0.818, 0.635], [0.182, 0.182, 0.365], [0.000, 0.500, 0.000], [0.500, 0.000, 0.000], [0.629, 0.629, 0.258], [0.371, 0.371, 0.742]], "dft_energy_ev_per_atom": -3.143}